Below is crystalline Pu2Al4GePd3 at its relaxed geometry, with properties calculated at the GGA-PBE level.

Values from the calculation:
E_form ... -563 meV per atom
Total DFT energy (no corrections) ... -6.95 eV/atom

```
Pu2Al4GePd3
1.0
4.3092 0.0000 0.0000
0.0000 4.3092 0.0000
0.0000 0.0000 10.3260
Pu Al Ge Pd
2 4 1 3
Direct
0.0000 0.5000 0.2443
0.5000 0.0000 0.7557
0.0000 0.0000 0.5000
0.0000 0.5000 0.8634
0.5000 0.0000 0.1366
0.5000 0.5000 0.5000
0.5000 0.5000 0.0000
0.0000 0.0000 0.0000
0.0000 0.5000 0.6273
0.5000 0.0000 0.3727
```

=====

Below is crystalline CsTl2AgCl4 at its relaxed geometry, with properties calculated at the GGA-PBE level.

Values from the calculation:
Total DFT energy (no corrections) ... -3.10 eV/atom

```
CsTl2AgCl4
1.0
2.2587 -7.7253 0.0000
2.2587 7.7253 0.0000
0.0000 0.0000 15.9303
Cs Tl Ag Cl
2 4 2 8
Direct
0.1086 0.8914 0.7500
0.8914 0.1086 0.2500
0.3685 0.6315 0.5492
0.3685 0.6315 0.9508
0.6315 0.3685 0.0492
0.6315 0.3685 0.4508
0.1607 0.8393 0.2500
0.8393 0.1607 0.7500
0.0000 0.0000 0.0000
0.0000 0.0000 0.5000
0.2705 0.7295 0.1253
0.2705 0.7295 0.3747
0.4290 0.5710 0.7500
0.5710 0.4290 0.2500
0.7295 0.2705 0.6253
0.7295 0.2705 0.8747
```

=====

Below is crystalline Ca2CoOs at its relaxed geometry, with properties calculated at the GGA-PBE level.

Values from the calculation:
E_form ... 680 meV per atom
Relative energy among the computed polymorphs ... 12.65 kcal/mol of atoms
Total DFT energy (no corrections) ... -4.90 eV/atom

```
Ca2CoOs
1.0
3.0461 0.0000 0.0000
0.0000 3.0461 0.0000
0.0000 0.0000 8.4661
Ca Co Os
2 1 1
Direct
0.0000 0.0000 0.2489
0.0000 0.0000 0.7511
0.5000 0.5000 0.5000
0.5000 0.5000 0.0000
```

=====

Below is crystalline Ac5Ir2RhN at its relaxed geometry, with properties calculated at the GGA-PBE level.

Values from the calculation:
Total DFT energy (no corrections) ... -6.65 eV/atom

```
Ac5Ir2RhN
1.0
2.1893 -9.3430 0.0000
2.1893 9.3430 0.0000
0.0000 0.0000 12.3160
Ac Ir Rh N
10 4 2 2
Direct
0.0095 0.9905 0.5000
0.1445 0.8555 0.7419
0.1686 0.8314 0.1037
0.2156 0.7844 0.4243
0.4644 0.5356 0.7646
0.5356 0.4644 0.2646
0.7844 0.2156 0.9243
0.8314 0.1686 0.6037
0.8555 0.1445 0.2419
0.9905 0.0095 0.0000
0.3753 0.6247 0.0259
0.3882 0.6118 0.4180
0.6118 0.3882 0.9180
0.6247 0.3753 0.5259
0.3029 0.6971 0.7657
0.6971 0.3029 0.2657
0.0407 0.9593 0.1768
0.9593 0.0407 0.6768
```

=====

Below is crystalline HoTm2PuO8 at its relaxed geometry, with properties calculated at the GGA-PBE level.

Values from the calculation:
Total DFT energy (no corrections) ... -8.75 eV/atom

```
HoTm2PuO8
1.0
3.5354 -3.5877 0.0000
3.5354 3.5877 0.0000
0.0000 0.0000 6.8931
Ho Tm Pu O
1 2 1 8
Direct
0.0000 0.0000 0.0000
0.5000 0.5000 0.2395
0.5000 0.5000 0.7605
0.0000 0.0000 0.5000
0.1861 0.8139 0.2768
0.1861 0.8139 0.7232
0.2832 0.2832 0.5000
0.3090 0.3090 0.0000
0.6910 0.6910 0.0000
0.7168 0.7168 0.5000
0.8139 0.1861 0.2768
0.8139 0.1861 0.7232
```

=====

Below is crystalline LaHo5Tm7 at its relaxed geometry, with properties calculated at the GGA-PBE level.

Values from the calculation:
E_form ... 254 meV per atom
Total DFT energy (no corrections) ... -4.29 eV/atom

```
LaHo5Tm7
1.0
-3.3190 5.5107 5.7416
3.3190 -5.5107 5.7416
3.3190 5.5107 -5.7416
La Ho Tm
1 5 7
Direct
0.0000 0.0000 0.0000
0.4339 0.4384 0.4656
0.4339 0.9684 0.9956
0.7006 0.2006 0.5000
0.9728 0.4384 0.0044
0.9728 0.9684 0.5344
0.1223 0.4526 0.6696
0.2067 0.7067 0.5000
0.2835 0.9516 0.3319
0.3920 0.3920 0.0000
0.6198 0.9516 0.6681
0.6979 0.6979 0.0000
0.7830 0.4526 0.3304
```